Record 1
This record from Alexandria describes crystalline Cs3KMg2H9 at its relaxed geometry. The functional is GGA-PBE.

Cell and atoms, written as CIF:
```
data_Cs3KMg2H9
_chemical_formula_sum 'Cs3 K1 Mg2 H9'
_space_group_name_H-M_alt 'P 1'
_space_group_IT_number 1
_space_group_name_Hall 'P 1'
_cell_length_a 6.2953
_cell_length_b 6.2953
_cell_length_c 7.8137
_cell_angle_alpha 90.00
_cell_angle_beta 90.00
_cell_angle_gamma 120.00
loop_
_atom_site_label
_atom_site_type_symbol
_atom_site_fract_x
_atom_site_fract_y
_atom_site_fract_z
Cs1 Cs 0.0000 0.0000 0.0000
Cs2 Cs 0.3333 0.6667 0.6626
Cs3 Cs 0.6667 0.3333 0.3374
K1 K 0.0000 0.0000 0.5000
Mg1 Mg 0.3333 0.6667 0.1562
Mg2 Mg 0.6667 0.3333 0.8438
H1 H 0.0000 0.5000 0.0000
H2 H 0.1871 0.3742 0.2943
H3 H 0.1871 0.8129 0.2943
H4 H 0.3742 0.1871 0.7057
H5 H 0.5000 0.0000 0.0000
H6 H 0.5000 0.5000 0.0000
H7 H 0.6258 0.8129 0.2943
H8 H 0.8129 0.1871 0.7057
H9 H 0.8129 0.6258 0.7057
```

Calculated values
**Spin magnetization**: 0.93 μB per cell
**Final energy**: -2.555 eV/atom
**Mass density**: 3.07 Mg/m³

Record 2
This record from Alexandria describes crystalline HoSc4Al5 at its relaxed geometry. The functional is GGA-PBE.

Cell and atoms, written as CIF:
```
data_HoSc4Al5
_chemical_formula_sum 'Ho1 Sc4 Al5'
_space_group_name_H-M_alt 'P 1'
_space_group_IT_number 1
_space_group_name_Hall 'P 1'
_cell_length_a 3.4127
_cell_length_b 3.4127
_cell_length_c 17.1343
_cell_angle_alpha 90.00
_cell_angle_beta 90.00
_cell_angle_gamma 90.00
loop_
_atom_site_label
_atom_site_type_symbol
_atom_site_fract_x
_atom_site_fract_y
_atom_site_fract_z
Ho1 Ho 0.0000 0.0000 0.0000
Sc1 Sc 0.0000 0.0000 0.2088
Sc2 Sc 0.0000 0.0000 0.4032
Sc3 Sc 0.0000 0.0000 0.5968
Sc4 Sc 0.0000 0.0000 0.7912
Al1 Al 0.5000 0.5000 0.1129
Al2 Al 0.5000 0.5000 0.3062
Al3 Al 0.5000 0.5000 0.5000
Al4 Al 0.5000 0.5000 0.6938
Al5 Al 0.5000 0.5000 0.8871
```

Calculated values
**Spin magnetization**: 0.00 μB per cell
**Final energy**: -5.297 eV/atom
**Mass density**: 3.99 Mg/m³

Record 3
This record from Alexandria describes crystalline Tl8SeS3 at its relaxed geometry. The functional is GGA-PBE.

Cell and atoms, written as CIF:
```
data_Tl8SeS3
_chemical_formula_sum 'Tl8 Se1 S3'
_space_group_name_H-M_alt 'P 1'
_space_group_IT_number 1
_space_group_name_Hall 'P 1'
_cell_length_a 8.0654
_cell_length_b 8.0654
_cell_length_c 8.0790
_cell_angle_alpha 116.64
_cell_angle_beta 116.64
_cell_angle_gamma 63.45
loop_
_atom_site_label
_atom_site_type_symbol
_atom_site_fract_x
_atom_site_fract_y
_atom_site_fract_z
Tl1 Tl 0.2396 0.2396 0.2440
Tl2 Tl 0.2396 0.7549 0.7594
Tl3 Tl 0.2451 0.7604 0.2406
Tl4 Tl 0.2540 0.2540 0.7469
Tl5 Tl 0.7460 0.7460 0.2531
Tl6 Tl 0.7549 0.2396 0.7594
Tl7 Tl 0.7604 0.2451 0.2406
Tl8 Tl 0.7604 0.7604 0.7560
Se1 Se 0.5000 0.5000 0.5000
S1 S 0.0000 0.0000 0.5000
S2 S 0.0000 0.5000 0.0000
S3 S 0.5000 0.0000 0.0000
```

Calculated values
**Spin magnetization**: 0.00 μB per cell
**Final energy**: -3.246 eV/atom
**Mass density**: 7.52 Mg/m³
**E_form (uncorrected)**: -0.35 eV per atom